#A
TbTm3Cd | Alexandria via LeMat-Bulk | GGA-PBE | relaxed; space group = Cmcm (63); calculated density = 8.5 g/cm3; total magnetization = 0.000 μB per atom
1.0
1.8488 -10.2603 0.0000
1.8488 10.2603 0.0000
0.0000 0.0000 8.0158
Tb Tm Cd
2 6 2
Cartesian
1.8488 9.8533 6.0118
1.8488 -9.8533 2.0039
1.8488 6.3947 6.0118
1.8488 2.0208 4.3231
1.8488 2.0208 7.7005
1.8488 -2.0208 0.3152
1.8488 -2.0208 3.6927
1.8488 -6.3947 2.0039
1.8488 6.3423 2.0039
1.8488 -6.3423 6.0118



#B
TbTm3Cd | Alexandria via LeMat-Bulk | GGA-PBE | relaxed; space group = C2/m (12); calculated density = 9.0 g/cm3; total magnetization = 0.079 μB per atom
1.0
6.4151 -1.7973 0.0000
6.4151 1.7973 0.0000
-0.8888 0.0000 12.4859
Tb Tm Cd
2 6 2
Cartesian
2.7740 0.0000 3.1907
9.1674 0.0000 9.2952
-0.1778 0.0000 8.5914
1.0350 0.0000 11.8067
4.2254 0.0000 6.4930
7.7160 0.0000 5.9929
10.9064 0.0000 0.6792
12.1192 0.0000 3.8945
4.9017 0.0000 10.9116
7.0397 0.0000 1.5742



Which of them is least stable? Easy: #A.



#A
Tb2Tm2Cd | Alexandria via LeMat-Bulk | GGA-PBE | relaxed; space group = I4_1/amd (141); calculated density = 8.1 g/cm3; total magnetization = 0.000 μB per atom
1.0
-2.5264 2.5264 12.3446
2.5264 -2.5264 12.3446
2.5264 2.5264 -12.3446
Tb Tm Cd
4 4 2
Cartesian
2.5264 1.2632 -4.9913
0.0000 1.2632 1.1810
2.5264 1.2632 11.1636
0.0000 1.2632 17.3359
2.5264 1.2632 -1.2735
0.0000 1.2632 4.8988
2.5264 1.2632 7.4458
0.0000 1.2632 13.6181
2.5264 -1.2632 9.2585
0.0000 3.7897 3.0862



#B
Tb2Tm2Cd | Alexandria via LeMat-Bulk | GGA-PBE | relaxed; space group = I4/mmm (139); calculated density = 8.8 g/cm3; total magnetization = 0.000 μB per atom
1.0
-1.7639 1.7639 11.6492
1.7639 -1.7639 11.6492
1.7639 1.7639 -11.6492
Tb Tm Cd
2 2 1
Cartesian
0.0000 0.0000 4.5587
0.0000 0.0000 18.7397
0.0000 0.0000 9.5810
0.0000 0.0000 13.7174
0.0000 0.0000 0.0000



Which of them is least stable? Easy: #A.